No. 1
Below is a relaxed V6RhN crystal, with properties calculated at the GGA-PBE level.

Cell lengths 4.3835, 4.9738, 5.0221 Å; angles 96.61, 111.38, 91.57 degrees
With the nearest neighbours (Å) after each atom.
Space group P-1 (No. 2)
Asymmetric unit:
V 0.0680 0.2959 0.1567 (multiplicity 2)  1 N 2.02
V 0.1970 0.8475 0.4265 (multiplicity 2)  1 N 2.04
V 0.4167 0.4087 0.7436 (multiplicity 2)  1 N 1.89
Rh 0.5000 0.0000 0.0000 (multiplicity 1)  8 V 2.49-2.71
N 0.0000 0.5000 0.5000 (multiplicity 1)  6 V 1.89-2.04

Values from the calculation:
**ρ**: 6.95 Mg/m³
**ΔE_f (raw)**: -3.5 eV per formula unit
**Crystal system**: triclinic


No. 2
Below is a relaxed VRhN2 crystal, with properties calculated at the GGA-PBE level.

Cell lengths 4.5384, 4.5384, 9.0087 Å; angles 90.00, 90.00, 90.00 degrees
With the nearest neighbours (Å) after each atom.
Space group I-42d (No. 122)
Asymmetric unit:
V 0.0000 0.0000 0.0000 (multiplicity 4)  4 N 1.87
Rh 0.0000 0.0000 0.5000 (multiplicity 4)  4 N 2.06
N 0.2137 0.2500 0.1250 (multiplicity 8)  2 V 1.87, 2 Rh 2.06

Values from the calculation:
**ρ**: 6.51 Mg/m³
**ΔE_f (raw)**: -1.2 eV per formula unit
**ΔE to the lowest computed polymorph**: 0 meV/atom
**Crystal system**: tetragonal


No. 3
Below is a relaxed VRhN3 crystal, with properties calculated at the GGA-PBE level.

Cell lengths 3.7806, 3.7806, 3.7806 Å; angles 90.00, 90.00, 90.00 degrees
With the nearest neighbours (Å) after each atom.
Space group Pm-3m (No. 221)
Asymmetric unit:
V 0.0000 0.0000 0.0000 (multiplicity 1)  6 N 1.89
Rh 0.5000 0.5000 0.5000 (multiplicity 1)  12 N 2.67
N 0.0000 0.0000 0.5000 (multiplicity 3)  2 V 1.89

Values from the calculation:
**ρ**: 6.02 Mg/m³
**ΔE_f (raw)**: 4.4 eV per formula unit
**Crystal system**: cubic


No. 4
Below is a relaxed VRhN3 crystal, with properties calculated at the GGA-PBE level.

Cell lengths 3.8582, 3.8582, 3.8582 Å; angles 90.00, 90.00, 90.00 degrees
With the nearest neighbours (Å) after each atom.
Space group Pm-3m (No. 221)
Asymmetric unit:
V 0.0000 0.0000 0.0000 (multiplicity 1)  12 N 2.73
Rh 0.5000 0.5000 0.5000 (multiplicity 1)  6 N 1.93
N 0.0000 0.5000 0.5000 (multiplicity 3)  2 Rh 1.93

Values from the calculation:
**ρ**: 5.66 Mg/m³
**ΔE_f (raw)**: 7.2 eV per formula unit
**Crystal system**: cubic


> Among the records above, which one has the lowest ρ?

number 4